## BaTl2In (PBE)

Data for a relaxed BaTl2In crystal.

Cell lengths 5.126, 5.126, 5.067 Å; angles 90.00, 90.00, 90.00 degrees
Fractional positions:
1 Ba 0.000 0.000 0.000
2 Tl 0.000 0.500 0.500
3 Tl 0.500 0.000 0.500
4 In 0.500 0.500 0.000

DFT formation energy = -0.242 eV per atom

## K4Cu4Cl10O (PBE)

Data for a relaxed K4Cu4Cl10O crystal.

Cell lengths 10.626, 10.626, 9.007 Å; angles 99.10, 99.10, 91.18 degrees
Fractional positions:
1 K 0.048 0.210 0.128
2 K 0.210 0.048 0.628
3 K 0.218 0.465 0.630
4 K 0.465 0.218 0.130
5 K 0.535 0.782 0.870
6 K 0.782 0.535 0.370
7 K 0.790 0.952 0.372
8 K 0.952 0.790 0.872
9 Cu 0.141 0.731 0.372
10 Cu 0.266 0.553 0.119
11 Cu 0.269 0.859 0.128
12 Cu 0.447 0.734 0.381
13 Cu 0.553 0.266 0.619
14 Cu 0.731 0.141 0.872
15 Cu 0.734 0.447 0.881
16 Cu 0.859 0.269 0.628
17 Cl 0.011 0.235 0.481
18 Cl 0.088 0.912 0.250
19 Cl 0.102 0.513 0.286
20 Cl 0.227 0.677 0.919
21 Cl 0.234 0.361 0.967
22 Cl 0.235 0.011 0.981
23 Cl 0.323 0.773 0.581
24 Cl 0.361 0.234 0.467
25 Cl 0.475 0.525 0.250
26 Cl 0.487 0.898 0.214
27 Cl 0.513 0.102 0.786
28 Cl 0.525 0.475 0.750
29 Cl 0.639 0.766 0.533
30 Cl 0.677 0.227 0.419
31 Cl 0.765 0.989 0.019
32 Cl 0.766 0.639 0.033
33 Cl 0.773 0.323 0.081
34 Cl 0.898 0.487 0.714
35 Cl 0.912 0.088 0.750
36 Cl 0.989 0.765 0.519
37 O 0.278 0.722 0.250
38 O 0.722 0.278 0.750

ΔE_f (raw) = -1.1364 eV per atom

## BeMoAs (PBE)

Data for a relaxed BeMoAs crystal.

Cell lengths 6.535, 6.535, 6.535 Å; angles 155.59, 155.59, 34.80 degrees
Fractional positions:
1 Be 0.000 0.000 0.000
2 Mo 0.375 0.375 0.000
3 As 0.713 0.713 0.000

E above lowest polymorph = 149.4 kJ/mol of formula units
DFT formation energy = 0.439 eV per atom

## TbCePm2 (PBE)

Data for a relaxed TbCePm2 crystal.

Cell lengths 3.570, 3.570, 10.205 Å; angles 90.00, 90.00, 90.00 degrees
Fractional positions:
1 Tb 0.000 0.000 0.000
2 Ce 0.000 0.000 0.500
3 Pm 0.500 0.500 0.256
4 Pm 0.500 0.500 0.744

E above lowest polymorph = 0.0 kJ/mol of formula units
DFT formation energy = 0.064 eV per atom

## LiEr2IO6 (PBE)

Data for a relaxed LiEr2IO6 crystal.

Cell lengths 5.619, 5.873, 5.998 Å; angles 92.03, 117.34, 117.99 degrees
Fractional positions:
1 Li 0.000 0.000 0.000
2 Er 0.447 0.344 0.655
3 Er 0.520 0.889 0.222
4 I 0.082 0.673 0.601
5 O 0.278 0.996 0.354
6 O 0.280 0.038 0.855
7 O 0.532 0.739 0.864
8 O 0.639 0.618 0.429
9 O 0.969 0.284 0.422
10 O 0.988 0.527 0.854

ΔE_f (raw) = -2.1880 eV per atom

## SiOsCl2 (PBE)

Data for a relaxed SiOsCl2 crystal.

Cell lengths 2.880, 4.331, 5.236 Å; angles 90.00, 90.00, 90.00 degrees
Fractional positions:
1 Si 0.000 0.000 0.000
2 Os 0.500 0.000 0.500
3 Cl 0.000 0.500 0.500
4 Cl 0.500 0.500 0.000

E above lowest polymorph = 397.3 kJ/mol of formula units
ΔE_f (raw) = 0.8316 eV per atom

| no. | spin magnetization (Bohr magnetons per cell) | density of states at the Fermi level (states/eV/cell) |
| --- | --- | --- |
| 1 | 0.0 | 4.436 |
| 2 | 4.1 | 15.914 |
| 3 | 0.0 | 2.904 |
| 4 | 0.6 | 7.697 |
| 5 | 0.0 | 0.000 |
| 6 | 0.6 | 3.484 |